(1)
An optimized crystal structure of La12Y2Ho5. Source: Alexandria, functional PBE-GGA.

Cell lengths 10.5187, 10.5187, 10.0516 Å; angles 116.56, 116.56, 42.81 degrees
With the nearest neighbours (Å) after each atom.
Element x y z (fractional)
La 0.0011 0.0011 0.2966  1 Ho 2.97, 2 Y 3.10
La 0.0693 0.6064 0.0128  4 La 3.24-3.57
La 0.0899 0.5917 0.6547  5 La 3.42-3.83, 3 Ho 3.67-3.83
La 0.3936 0.9307 0.9872  4 La 3.24-3.57
La 0.4083 0.9101 0.3453  5 La 3.42-3.83, 3 Ho 3.67-3.83
La 0.4832 0.4832 0.1388  3 La 3.16-3.24
La 0.5168 0.5168 0.8612  3 La 3.16-3.24
La 0.5917 0.0899 0.6547  5 La 3.42-3.83, 3 Ho 3.67-3.83
La 0.6064 0.0693 0.0128  4 La 3.24-3.57
La 0.9101 0.4083 0.3453  5 La 3.42-3.83, 3 Ho 3.67-3.83
La 0.9307 0.3936 0.9872  4 La 3.24-3.57
La 0.9989 0.9989 0.7034  1 Ho 2.97, 2 Y 3.10
Y 0.3013 0.6987 0.5000  1 Y 3.05, 2 La 3.10
Y 0.6987 0.3013 0.5000  1 Y 3.05, 2 La 3.10
Ho 0.0000 0.0000 0.0000  2 La 2.97
Ho 0.1760 0.1760 0.6713  10 La 3.64-3.95, 2 Y 3.81, 2 Ho 3.84
Ho 0.3189 0.3189 0.3093  2 Y 3.47, 8 La 3.68-3.83, 2 Ho 3.84
Ho 0.6811 0.6811 0.6907  2 Y 3.47, 8 La 3.68-3.83, 2 Ho 3.84
Ho 0.8240 0.8240 0.3287  10 La 3.64-3.95, 2 Y 3.81, 2 Ho 3.84

Computed properties:
Crystal system ... monoclinic
Formation energy from the elements ... 0.1567 eV/atom
VASP energy ... -92.0 eV for the cell shown
Space-group type ... C2/m (12)
Excess energy over the best structure of this formula in the dataset ... 59 meV/atom

---

(2)
An optimized crystal structure of Pm3Nd2Dy7. Source: Alexandria, functional PBE-GGA.

Cell lengths 5.8546, 3.5964, 18.9208 Å; angles 90.00, 93.22, 90.00 degrees
With the nearest neighbours (Å) after each atom.
Element x y z (fractional)
Pm 0.0000 0.0000 0.0000  8 Dy 3.37-3.44, 2 Pm 3.60
Pm 0.2777 0.5000 0.6315  2 Pm 3.60, 6 Dy 3.67-3.88, 4 Nd 3.72-3.73
Pm 0.7223 0.5000 0.3685  2 Pm 3.60, 6 Dy 3.67-3.88, 4 Nd 3.72-3.73
Nd 0.2098 0.0000 0.2927  3 Dy 3.20-3.37
Nd 0.7902 0.0000 0.7073  3 Dy 3.20-3.37
Dy 0.1876 0.5000 0.1421  7 Dy 3.34-3.60, 2 Nd 3.37, 2 Pm 3.37
Dy 0.2426 0.0000 0.4621  1 Nd 3.20, 2 Dy 3.25-3.26
Dy 0.3106 0.0000 0.8273  8 Dy 3.47-3.84, 2 Nd 3.70-3.71, 1 Pm 3.83
Dy 0.5000 0.5000 0.0000  4 Dy 3.34-3.60, 4 Pm 3.44
Dy 0.6894 0.0000 0.1727  8 Dy 3.47-3.84, 2 Nd 3.70-3.71, 1 Pm 3.83
Dy 0.7574 0.0000 0.5379  1 Nd 3.20, 2 Dy 3.25-3.26
Dy 0.8124 0.5000 0.8579  7 Dy 3.34-3.60, 2 Nd 3.37, 2 Pm 3.37

Computed properties:
Crystal system ... monoclinic
Formation energy from the elements ... 0.0841 eV/atom
VASP energy ... -55.0 eV for the cell shown
Space-group type ... P2/m (10)
Excess energy over the best structure of this formula in the dataset ... 2 meV/atom

---

(3)
An optimized crystal structure of KPrGe2I8. Source: Alexandria, functional PBE-GGA.

Cell lengths 7.3071, 7.7903, 9.6520 Å; angles 85.76, 86.30, 86.45 degrees
With the nearest neighbours (Å) after each atom.
Element x y z (fractional)
K 0.0000 0.0000 0.0000  6 I 3.42-3.62
Pr 0.0000 0.0000 0.5000  6 I 3.15-3.20
Ge 0.4611 0.4700 0.2403  2 I 2.73-2.87
Ge 0.5389 0.5300 0.7597  2 I 2.73-2.87
I 0.2411 0.3317 0.4750  1 Ge 2.87, 1 Pr 3.20
I 0.2576 0.8277 0.2692  1 Ge 3.10, 1 Pr 3.15, 1 K 3.45
I 0.2620 0.8384 0.7280  1 Ge 3.05, 1 Pr 3.15, 1 K 3.42
I 0.2744 0.3663 0.0285  1 Ge 2.73
I 0.7256 0.6337 0.9715  1 Ge 2.73
I 0.7380 0.1616 0.2720  1 Ge 3.05, 1 Pr 3.15, 1 K 3.42
I 0.7424 0.1723 0.7308  1 Ge 3.10, 1 Pr 3.15, 1 K 3.45
I 0.7589 0.6683 0.5250  1 Ge 2.87, 1 Pr 3.20

Computed properties:
ΔE_f (raw) ... -0.82 eV/atom
Crystal system ... triclinic
VASP energy ... -37.3 eV for the cell shown
Space-group type ... P-1 (2)

---

(4)
An optimized crystal structure of CoAg4. Source: Alexandria, functional PBE-GGA.

Cell lengths 7.5008, 7.5008, 7.5008 Å; angles 151.37, 151.37, 40.93 degrees
With the nearest neighbours (Å) after each atom.
Element x y z (fractional)
Co 0.0000 0.0000 0.0000  8 Ag 2.94
Ag 0.2500 0.7500 0.5000  8 Ag 2.62-2.87
Ag 0.4060 0.4060 0.0000  5 Ag 2.64-2.87, 4 Co 2.94
Ag 0.5940 0.5940 0.0000  5 Ag 2.64-2.87, 4 Co 2.94
Ag 0.7500 0.2500 0.5000  8 Ag 2.62-2.87

Computed properties:
Crystal system ... tetragonal
Formation energy from the elements ... 0.6398 eV/atom
VASP energy ... -15.3 eV for the cell shown
Space-group type ... I4/mmm (139)
Excess energy over the best structure of this formula in the dataset ... 341 meV/atom

---

(5)
An optimized crystal structure of Pt4C3. Source: Alexandria, functional PBE-GGA.

Cell lengths 4.3910, 4.3910, 4.3910 Å; angles 90.00, 90.00, 90.00 degrees
With the nearest neighbours (Å) after each atom.
Element x y z (fractional)
Pt 0.0000 0.0000 0.0000  6 C 2.20
Pt 0.0000 0.5000 0.5000  4 C 2.20
Pt 0.5000 0.0000 0.5000  4 C 2.20
Pt 0.5000 0.5000 0.0000  4 C 2.20
C 0.0000 0.0000 0.5000  6 Pt 2.20
C 0.0000 0.5000 0.0000  6 Pt 2.20
C 0.5000 0.0000 0.0000  6 Pt 2.20

Computed properties:
Crystal system ... cubic
Formation energy from the elements ... 1.1810 eV/atom
VASP energy ... -43.6 eV for the cell shown
Space-group type ... Pm-3m (221)
Excess energy over the best structure of this formula in the dataset ... 585 meV/atom

---

(6)
An optimized crystal structure of CsAs2BrO. Source: Alexandria, functional PBE-GGA.

Cell lengths 4.4509, 4.4509, 8.1265 Å; angles 90.00, 90.00, 90.00 degrees
With the nearest neighbours (Å) after each atom.
Element x y z (fractional)
Cs 0.0000 0.0000 0.0000  4 Br 3.15
As 0.0000 0.5000 0.5000  2 O 2.23
As 0.5000 0.0000 0.5000  2 O 2.23
Br 0.5000 0.5000 0.0000  4 Cs 3.15
O 0.5000 0.5000 0.5000  4 As 2.23

Computed properties:
ΔE_f (raw) ... -0.15 eV/atom
Crystal system ... tetragonal
VASP energy ... -17.6 eV for the cell shown
Space-group type ... P4/mmm (123)
Excess energy over the best structure of this formula in the dataset ... 0 meV/atom